Entry 1:
A relaxed Ca4HgPtAu2 crystal, computed with PBE.

Cell lengths 5.1567, 5.1567, 8.8976 Å; angles 73.16, 73.16, 60.00 degrees
With the nearest neighbours (Å) after each atom.
Element x y z (fractional)
Pt: 0.5000 0.5000 0.5000  8 Ca 2.98-3.11
Ca: 0.1308 0.1308 0.6076  4 Au 3.10-3.25, 3 Pt 3.11, 1 Hg 3.29
Ca: 0.6184 0.6184 0.1449  1 Pt 2.98, 4 Au 3.08-3.21, 3 Hg 3.22
Ca: 0.3816 0.3816 0.8551  1 Pt 2.98, 4 Au 3.08-3.21, 3 Hg 3.22
Hg: 0.0000 0.0000 0.0000  8 Ca 3.22-3.29, 6 Au 3.58
Ca: 0.8692 0.8692 0.3924  4 Au 3.10-3.25, 3 Pt 3.11, 1 Hg 3.29
Au: 0.7459 0.7459 0.7622  8 Ca 3.08-3.25
Au: 0.2541 0.2541 0.2378  8 Ca 3.08-3.25

Calculated values
Raw total energy ... -3.356 eV/atom
Space group ... R-3m
Energy relative to the elements ... -71.7 kJ per mole of atoms

=====

Entry 2:
A relaxed KNpPN4 crystal, computed with PBE.

Cell lengths 5.4717, 5.5705, 7.5588 Å; angles 90.00, 107.11, 90.00 degrees
With the nearest neighbours (Å) after each atom.
Element x y z (fractional)
K: 0.2992 0.2500 0.0640  4 N 2.79-3.02
Np: 0.7648 0.7500 0.4565  4 N 2.09-2.24
P: 0.2385 0.7500 0.3436  4 N 1.64-1.68
P: 0.7615 0.2500 0.6564  4 N 1.64-1.68
N: 0.0431 0.9786 0.3296  1 P 1.65
N: 0.0431 0.5214 0.3296  1 P 1.65
N: 0.9569 0.0214 0.6704  1 P 1.65
N: 0.4333 0.7500 0.2152  1 P 1.64
N: 0.9569 0.4786 0.6704  1 P 1.65
K: 0.7008 0.7500 0.9360  4 N 2.79-3.02
Np: 0.2352 0.2500 0.5435  4 N 2.09-2.24
N: 0.5667 0.2500 0.7848  1 P 1.64
N: 0.4471 0.7500 0.5572  1 P 1.68
N: 0.5529 0.2500 0.4428  1 P 1.68

Calculated values
Raw total energy ... -8.081 eV/atom
E_form (uncorrected) ... -368 kJ/mol of formula units
Space group ... P2_1/m

=====

Entry 3:
A relaxed SnPb3S crystal, computed with PBE.

Cell lengths 5.8300, 5.8300, 5.8300 Å; angles 90.00, 90.00, 90.00 degrees
With the nearest neighbours (Å) after each atom.
Element x y z (fractional)
Pb: 0.0000 0.5000 0.0000  2 Sn 2.91
Pb: 0.0000 0.0000 0.5000  2 Sn 2.91
Sn: 0.0000 0.0000 0.0000  6 Pb 2.91
S: 0.5000 0.5000 0.5000  12 Pb 4.12
Pb: 0.5000 0.0000 0.0000  2 Sn 2.91

Calculated values
Raw total energy ... -3.182 eV/atom
E_form (uncorrected) ... 323 kJ/mol of formula units
Space group ... Pm-3m
Energy above the lowest structure with this stoichiometry ... 51.9 kJ per mole of atoms

=====

Entry 4:
A relaxed AcLa2Os2N6 crystal, computed with PBE.

Cell lengths 5.8448, 5.8448, 7.3226 Å; angles 66.48, 66.48, 60.00 degrees
With the nearest neighbours (Å) after each atom.
Element x y z (fractional)
N: 0.2666 0.7755 0.6913  1 Os 1.81
N: 0.7334 0.2245 0.3087  1 Os 1.81
Os: 0.4075 0.4075 0.7775  3 N 1.81
La: 0.7958 0.7958 0.6126  3 N 2.58
N: 0.2666 0.2666 0.6913  1 Os 1.81
La: 0.2042 0.2042 0.3874  3 N 2.58
Ac: 0.0000 0.0000 0.0000  6 N 2.60
Os: 0.5925 0.5925 0.2225  3 N 1.81
N: 0.7334 0.7334 0.3087  1 Os 1.81
N: 0.2245 0.7334 0.3087  1 Os 1.81
N: 0.7755 0.2666 0.6913  1 Os 1.81

Calculated values
Raw total energy ... -8.325 eV/atom
E_form (uncorrected) ... -502 kJ/mol of formula units
Space group ... R-3m

=====

Entry 5:
A relaxed TlZnRu2 crystal, computed with PBE.

Cell lengths 8.7161, 8.7161, 8.7161 Å; angles 19.63, 19.63, 19.63 degrees
With the nearest neighbours (Å) after each atom.
Element x y z (fractional)
Ru: 0.4949 0.4949 0.4949  3 Zn 2.64, 3 Tl 2.84
Tl: 0.2500 0.2500 0.2500  6 Ru 2.84, 6 Tl 2.97
Zn: 0.7500 0.7500 0.7500  6 Ru 2.64
Ru: 0.0051 0.0051 0.0051  3 Zn 2.64, 3 Tl 2.84

Calculated values
Raw total energy ... -5.051 eV/atom
Space group ... R-3m
Energy above the lowest structure with this stoichiometry ... 23.8 kJ per mole of atoms
Energy relative to the elements ... 48.0 kJ per mole of atoms

=====

Entry 6:
A relaxed CdFeRe crystal, computed with PBE.

Cell lengths 4.1321, 4.1321, 4.1321 Å; angles 60.00, 60.00, 60.00 degrees
With the nearest neighbours (Å) after each atom.
Element x y z (fractional)
Fe: 0.7500 0.7500 0.7500  4 Re 2.53, 4 Cd 2.53
Cd: 0.5000 0.5000 0.5000  4 Fe 2.53
Re: 0.0000 0.0000 0.0000  4 Fe 2.53

Calculated values
Raw total energy ... -6.486 eV/atom
Space group ... F-43m
Energy above the lowest structure with this stoichiometry ... 45.0 kJ per mole of atoms
Energy relative to the elements ... 76.2 kJ per mole of atoms

=====

Number 6 is which compound?
CdFeRe